1.
Fe2C after structural relaxation, computed with PBE.

Cell and atoms, written as CIF:
```
data_Fe2C
_space_group_name_H-M_alt 'C 1 2/m 1'
_space_group_IT_number 12
_space_group_name_Hall '-C 2y'
_cell_length_a 9.609
_cell_length_b 2.582
_cell_length_c 4.608
_cell_angle_alpha 90.00
_cell_angle_beta 110.81
_cell_angle_gamma 90.00
loop_
_atom_site_label
_atom_site_type_symbol
_atom_site_fract_x
_atom_site_fract_y
_atom_site_fract_z
Fe1 Fe 0.029 0.000 0.267
Fe2 Fe 0.209 0.500 0.733
C1 C 0.125 0.500 0.071
```

For the total energy, the calculation gives -8.40 eV per atom. Its size of the total moment is 2.77 μB/f.u. Its formation energy from the elements is 0.94 eV per formula unit.

***

2.
FeC after structural relaxation, computed with PBE.

Cell and atoms, written as CIF:
```
data_FeC
_space_group_name_H-M_alt 'P 63/m m c'
_space_group_IT_number 194
_space_group_name_Hall '-P 6c 2c'
_cell_length_a 2.7285
_cell_length_b 2.7285
_cell_length_c 4.9343
_cell_angle_alpha 90.00
_cell_angle_beta 90.00
_cell_angle_gamma 120.00
loop_
_atom_site_label
_atom_site_type_symbol
_atom_site_fract_x
_atom_site_fract_y
_atom_site_fract_z
Fe1 Fe 0.0000 0.0000 0.0000
C1 C 0.3333 0.6667 0.2500
```

For the total energy, the calculation gives -8.43 eV per atom. Its size of the total moment is 0.45 μB/f.u. Its formation energy from the elements is 0.83 eV per formula unit.

***

3.
FeC2 after structural relaxation, computed with PBE.

Cell and atoms, written as CIF:
```
data_FeC2
_space_group_name_H-M_alt 'P a -3'
_space_group_IT_number 205
_space_group_name_Hall '-P 2ac 2ab 3'
_cell_length_a 4.788
_cell_length_b 4.788
_cell_length_c 4.788
_cell_angle_alpha 90.00
_cell_angle_beta 90.00
_cell_angle_gamma 90.00
loop_
_atom_site_label
_atom_site_type_symbol
_atom_site_fract_x
_atom_site_fract_y
_atom_site_fract_z
Fe1 Fe 0.000 0.000 0.000
C1 C 0.081 0.581 0.919
```

For the total energy, the calculation gives -7.72 eV per atom. Its size of the total moment is 2.30 μB/f.u. Its formation energy from the elements is 3.75 eV per formula unit. The polymorph energy (0 for the lowest one) is 731 meV/atom.